Record 1
## MgZn2Os (PBEsol)

Data for an optimized crystal structure of MgZn2Os.

Output
calculated total energy = -16.20 eV for the cell shown
magnetization = 0.00 μB/atom
formation energy = 0.22 eV per atom

a b c (Å): 2.725 2.725 8.776
angles (deg): 90.00 90.00 113.64
Atoms (fractional coordinates):
1 Mg 0.000 0.000 0.494
2 Os 0.500 0.500 0.243
3 Zn 0.000 0.000 0.003
4 Zn 0.500 0.500 0.760

Record 2
## MgZn4Os (PBEsol)

Data for an optimized crystal structure of MgZn4Os.

Output
calculated total energy = -19.83 eV for the cell shown
magnetization = 0.00 μB/atom
formation energy = 0.07 eV per atom

a b c (Å): 4.911 4.911 4.911
angles (deg): 60.00 60.00 60.00
Atoms (fractional coordinates):
1 Mg 0.750 0.750 0.750
2 Os 0.000 0.000 0.000
3 Zn 0.374 0.374 0.374
4 Zn 0.374 0.374 0.878
5 Zn 0.878 0.374 0.374
6 Zn 0.374 0.878 0.374

Record 3
## MgZnOs2 (PBEsol)

Data for an optimized crystal structure of MgZnOs2.

Output
calculated total energy = -26.58 eV for the cell shown
magnetization = 0.00 μB/atom
formation energy = 0.29 eV per atom

a b c (Å): 2.902 4.503 5.174
angles (deg): 115.80 106.29 90.00
Atoms (fractional coordinates):
1 Mg 0.000 0.500 0.000
2 Os 0.761 0.761 0.521
3 Os 0.239 0.239 0.479
4 Zn 0.500 0.000 0.000

Record 4
## MgZnOs (PBEsol)

Data for an optimized crystal structure of MgZnOs.

Output
calculated total energy = -14.68 eV for the cell shown
distance to the lowest polymorph of the same formula = 0 kJ/mol of formula units
magnetization = 0.00 μB/atom
formation energy = 0.28 eV per atom

a b c (Å): 2.725 2.725 6.797
angles (deg): 96.95 96.95 113.36
Atoms (fractional coordinates):
1 Mg 0.003 0.003 0.006
2 Os 0.669 0.669 0.338
3 Zn 0.328 0.328 0.656

Record 5
## MgZn2Os (PBEsol)

Data for an optimized crystal structure of MgZn2Os.

Output
calculated total energy = -16.44 eV for the cell shown
magnetization = 0.00 μB/atom
formation energy = 0.16 eV per atom

a b c (Å): 2.651 5.033 5.152
angles (deg): 117.03 101.11 97.60
Atoms (fractional coordinates):
1 Mg 0.000 0.500 0.000
2 Os 0.500 0.000 0.000
3 Zn 0.500 0.500 0.500
4 Zn 0.000 0.000 0.500

Record 6
## MgZnOs (PBEsol)

Data for an optimized crystal structure of MgZnOs.

Output
calculated total energy = -12.14 eV for the cell shown
distance to the lowest polymorph of the same formula = 244 kJ/mol of formula units
magnetization = 0.12 μB/atom
formation energy = 1.12 eV per atom

a b c (Å): 4.167 4.167 4.167
angles (deg): 60.00 60.00 60.00
Each line ends with the local moment (μB).
Atoms (fractional coordinates):
1 Mg 0.250 0.250 0.250  0.00
2 Os 0.000 0.000 0.000  0.34
3 Zn 0.500 0.500 0.500  -0.01

Record 7
## MgZnOs2 (PBEsol)

Data for an optimized crystal structure of MgZnOs2.

Output
calculated total energy = -26.58 eV for the cell shown
magnetization = 0.00 μB/atom
formation energy = 0.29 eV per atom

a b c (Å): 2.758 2.758 8.883
angles (deg): 81.07 81.07 60.00
Atoms (fractional coordinates):
1 Mg 0.000 0.000 0.000
2 Os 0.247 0.247 0.259
3 Os 0.753 0.753 0.741
4 Zn 0.500 0.500 0.500

Record 8
## MgZr2Os (PBEsol)

Data for an optimized crystal structure of MgZr2Os.

Output
calculated total energy = -32.90 eV for the cell shown
magnetization = 0.00 μB/atom
formation energy = -0.20 eV per atom

a b c (Å): 3.283 3.283 7.066
angles (deg): 90.00 90.00 90.00
Atoms (fractional coordinates):
1 Mg 0.500 0.500 0.000
2 Os 0.500 0.500 0.500
3 Zr 0.000 0.000 0.726
4 Zr 0.000 0.000 0.274

Record 9
## Mg2ZrOs (PBEsol)

Data for an optimized crystal structure of Mg2ZrOs.

Output
calculated total energy = -24.32 eV for the cell shown
distance to the lowest polymorph of the same formula = 46 kJ/mol of formula units
magnetization = 0.00 μB/atom
formation energy = 0.10 eV per atom

a b c (Å): 2.817 4.687 5.527
angles (deg): 90.00 103.91 90.00
Atoms (fractional coordinates):
1 Mg 0.082 0.000 0.769
2 Mg 0.918 0.000 0.231
3 Os 0.500 0.500 0.000
4 Zr 0.500 0.500 0.500

Record 10
## MgZrOs2 (PBEsol)

Data for an optimized crystal structure of MgZrOs2.

Output
calculated total energy = -34.33 eV for the cell shown
magnetization = 0.00 μB/atom
formation energy = 0.23 eV per atom

a b c (Å): 4.500 4.500 4.500
angles (deg): 60.00 60.00 60.00
Atoms (fractional coordinates):
1 Mg 0.500 0.500 0.500
2 Os 0.000 0.000 0.000
3 Os 0.250 0.250 0.250
4 Zr 0.750 0.750 0.750

Record 11
## Mg2ZrOs (PBEsol)

Data for an optimized crystal structure of Mg2ZrOs.

Output
calculated total energy = -24.80 eV for the cell shown
distance to the lowest polymorph of the same formula = 0 kJ/mol of formula units
magnetization = 0.00 μB/atom
formation energy = -0.01 eV per atom

a b c (Å): 3.894 3.894 4.701
angles (deg): 90.00 90.00 90.00
Atoms (fractional coordinates):
1 Mg 0.000 0.500 0.000
2 Mg 0.500 0.000 0.000
3 Os 0.500 0.500 0.500
4 Zr 0.000 0.000 0.500

Record 12
## Mg3ZrOs (PBEsol)

Data for an optimized crystal structure of Mg3ZrOs.

Output
calculated total energy = -14.62 eV for the cell shown
magnetization = 0.85 μB/atom
formation energy = 2.37 eV per atom

a b c (Å): 5.133 5.133 5.133
angles (deg): 90.00 90.00 90.00
Each line ends with the local moment (μB).
Atoms (fractional coordinates):
1 Mg 0.000 0.500 0.000  0.04
2 Mg 0.000 0.000 0.500  0.04
3 Mg 0.500 0.000 0.000  0.04
4 Os 0.500 0.500 0.500  2.16
5 Zr 0.000 0.000 0.000  1.11